Record 1
MgSi2P at its PBEsol-relaxed geometry, computed with SCAN.

Cell and atoms, written as POSCAR:
```
MgSi2P
1.0
3.648 0.000 0.000
0.000 3.648 0.000
0.000 0.000 4.785
Mg Si P
1 2 1
Cartesian
0.000 0.000 0.000 Mg
0.000 1.824 2.392 Si
1.824 0.000 2.392 Si
1.824 1.824 0.000 P
```

Calculated values
Crystal system: tetragonal
Energy above the most stable polymorph in this dataset (meV per atom): 48
Formation energy from raw total energies (eV/atom): 0.308
D(E_F) (states/eV per cell): 1.88
Space-group type: P4/mmm

Record 2
TaSbRh2 at its PBEsol-relaxed geometry, computed with SCAN.

Cell and atoms, written as POSCAR:
```
TaSbRh2
1.0
3.393 0.000 0.000
0.000 3.393 0.000
0.000 0.000 5.732
Ta Sb Rh
1 1 2
Cartesian
0.000 0.000 0.000 Ta
0.000 0.000 2.866 Sb
1.696 1.696 1.329 Rh
1.696 1.696 4.403 Rh
```

Calculated values
Crystal system: tetragonal
Formation energy from raw total energies (eV/atom): -0.395
D(E_F) (states/eV per cell): 2.10
Space-group type: P4/mmm

Record 3
Zr2HgAu at its PBEsol-relaxed geometry, computed with SCAN.

Cell and atoms, written as POSCAR:
```
Zr2HgAu
1.0
3.534 0.000 0.000
0.000 3.534 0.000
0.000 0.000 6.431
Zr Hg Au
2 1 1
Cartesian
0.000 0.000 0.000 Zr
1.767 1.767 1.857 Zr
1.767 1.767 4.888 Hg
0.000 0.000 3.294 Au
```

Calculated values
Crystal system: tetragonal
ΔH_f (0 K) (meV/atom): -506
D(E_F) (states/eV per cell): 1.26
Space-group type: P4mm

Record 4
FeSiOs2 at its PBEsol-relaxed geometry, computed with SCAN.

Cell and atoms, written as POSCAR:
```
FeSiOs2
1.0
2.724 0.000 0.000
0.000 3.793 0.000
-1.064 0.000 5.027
Fe Si Os
1 1 2
Cartesian
0.000 0.000 0.000 Fe
-0.532 0.000 2.514 Si
0.223 1.896 3.742 Os
1.437 1.896 1.286 Os
```

Calculated values
Crystal system: monoclinic
Formation energy from raw total energies (eV/atom): 0.003
D(E_F) (states/eV per cell): 3.09
Space-group type: P2/m